Model one:
Computed, not measured: an optimized crystal structure of MnBi2Br at the PBE-GGA level of DFT.

abc: 6.534 6.534 7.928
angles: 65.66 65.66 90.00
Positions (direct):
Br 0.000 0.000 0.000
Br 0.750 0.250 0.500
Mn 0.250 0.750 0.500
Mn 0.500 0.500 0.000
Bi 0.375 0.481 0.750
Bi 0.519 0.125 0.250
Bi 0.875 0.769 0.750
Bi 0.231 0.625 0.250

Model two:
Computed, not measured: an optimized crystal structure of MnBi2Br at the PBE-GGA level of DFT.

abc: 5.309 5.309 5.309
angles: 60.00 60.00 60.00
Last column: magnetic moment on the atom in μB.
Positions (direct):
Bi 0.750 0.750 0.750  -0.14
Bi 0.250 0.250 0.250  -0.14
Mn 0.000 0.000 0.000  4.04
Br 0.500 0.500 0.500  -0.04

The structure with the most favorable energy is model two; the runner-up is 102 meV per atom above it.

Model one:
Computed, not measured: an optimized crystal structure of Mn3BiBr at the PBE-GGA level of DFT.

abc: 5.008 5.008 5.008
angles: 90.00 90.00 90.00
Last column: magnetic moment on the atom in μB.
Positions (direct):
Mn 0.500 0.000 0.000  0.26
Mn 0.000 0.500 0.000  0.11
Mn 0.000 0.000 0.500  -0.24
Br 0.500 0.500 0.500  -0.06
Bi 0.000 0.000 0.000  -0.03

Model two:
Computed, not measured: an optimized crystal structure of Mn3BiBr at the PBE-GGA level of DFT.

abc: 4.801 4.801 4.801
angles: 90.00 90.00 90.00
Last column: magnetic moment on the atom in μB.
Positions (direct):
Br 0.000 0.000 0.000  0.04
Bi 0.500 0.500 0.500  -0.01
Mn 0.000 0.000 0.500  3.58
Mn 0.000 0.500 0.000  3.71
Mn 0.500 0.000 0.000  3.77

The structure with the most favorable energy is model two; the runner-up is 1234 meV per atom above it.